# CoTcIr3

CoTcIr3 at its PBEsol-relaxed geometry (meta-GGA SCAN, Alexandria).

## Properties
The calculation puts the total energy at -257.47 eV per cell. Its symmetry is Pm-3m, No. 221. As for the energy of formation from the pure elements: 1.64 eV/atom. The total magnetization comes out at 7.173 μB per formula unit.

abc: 4.328 4.328 4.328
angles: 90.00 90.00 90.00
Fractional coordinates of all 5 atoms:
Co  0.000  0.000  0.000
Tc  0.500  0.500  0.500
Ir  0.000  0.000  0.500
Ir  0.000  0.500  0.000
Ir  0.500  0.000  0.000